## A
Density functional theory data (PBE-GGA) for crystalline CrSbS3 at its relaxed geometry.

* DOS(E_F): 6.8 states/eV per cell

a b c (Å): 4.998 4.998 4.998
angles (deg): 90.00 90.00 90.00
Each line ends with the local moment (μB).
Fractional coordinates of all 5 atoms:
S1 0.000 0.500 0.000  -0.16
S2 0.500 0.000 0.000  -0.16
S3 0.000 0.000 0.500  -0.16
Sb1 0.000 0.000 0.000  0.00
Cr1 0.500 0.500 0.500  4.12

---

## B
Density functional theory data (PBE-GGA) for crystalline CrSbS3 at its relaxed geometry.

a b c (Å): 3.650 6.532 9.655
angles (deg): 89.37 90.00 90.00
Each line ends with the local moment (μB).
Fractional coordinates of all 10 atoms:
Cr1 0.750 0.073 0.842  2.95
Cr2 0.250 0.927 0.158  2.95
Sb1 0.250 0.583 0.815  0.02
Sb2 0.750 0.417 0.185  0.02
S1 0.250 0.931 0.701  -0.07
S2 0.250 0.611 0.315  -0.05
S3 0.750 0.802 0.013  -0.09
S4 0.750 0.389 0.685  -0.05
S5 0.750 0.069 0.299  -0.07
S6 0.250 0.198 0.987  -0.09

---

Pick B: it beats the second-best structure by 1045 meV/atom.